Crystalline La3Mg2Ag at its relaxed geometry, computed with PBE.

abc: 3.9109 5.5470 8.7495
angles: 108.48 90.00 90.00
Fractional positions:
La 0.5000 0.5000 0.0000
La 0.5000 0.8416 0.6831
La 0.5000 0.1584 0.3169
Mg 0.0000 0.3239 0.6479
Mg 0.0000 0.6761 0.3521
Ag 0.0000 0.0000 0.0000

Values from the calculation:
- Total moment: 0.00 μB/cell
- Energy relative to the elements: -0.1576 eV per atom
- Fermi-level density of states: 5.55 states/eV/cell
- Space-group type: Cmmm, No. 65
- E above lowest polymorph: 5 meV per atom